# 1
# PBE-GGA Ba4RhI3, optimized geometry
data_Ba4RhI3
_cell_length_a 6.834
_cell_length_b 12.619
_cell_length_c 9.411
_cell_angle_alpha 90.00
_cell_angle_beta 90.00
_cell_angle_gamma 90.00
_symmetry_space_group_name_H-M 'P m m n'
_symmetry_Int_Tables_number 59
loop_
_symmetry_equiv_pos_as_xyz
'x,y,z'
'-x,-y,-z'
'-x+1/2,-y+1/2,z'
'x+1/2,y+1/2,-z'
'x+1/2,-y,-z'
'-x+1/2,y,z'
'-x,y+1/2,-z'
'x,-y+1/2,z'
loop_
_atom_site_label
_atom_site_type_symbol
_atom_site_fract_x
_atom_site_fract_y
_atom_site_fract_z
_atom_site_occupancy
Ba1 Ba 0.250 0.038 0.249 1
Ba2 Ba 0.250 0.250 0.659 1
Ba3 Ba 0.250 0.750 0.639 1
Rh1 Rh 0.250 0.250 0.362 1
I1 I 0.250 0.001 0.859 1
I2 I 0.250 0.750 0.242 1
# - Energy relative to the elements, uncorrected: -0.99 eV/atom
# - Polymorph energy (0 for the lowest one): 109 meV/atom
# - Size of the total moment: 1.21 μB per formula unit
# - Total DFT energy (no corrections): -0.2538 Ry/atom
# - Crystal system: orthorhombic
# - V: 50.72 Å³ per atom

=====

# 2
# PBE-GGA Ba8Rh3SI4, optimized geometry
data_Ba8Rh3SI4
_cell_length_a 9.2786
_cell_length_b 9.2786
_cell_length_c 25.4880
_cell_angle_alpha 90.00
_cell_angle_beta 90.00
_cell_angle_gamma 120.00
_symmetry_space_group_name_H-M 'R -3 m'
_symmetry_Int_Tables_number 166
_symmetry_space_group_name_Hall '-R 3 2"'
loop_
_atom_site_label
_atom_site_type_symbol
_atom_site_fract_x
_atom_site_fract_y
_atom_site_fract_z
_atom_site_occupancy
Ba1 Ba 0.0000 0.0000 0.2356 1
Ba2 Ba 0.0075 0.5037 0.7690 1
Rh1 Rh 0.0000 0.5000 0.5000 1
S1 S 0.0000 0.0000 0.5000 1
I1 I 0.0000 0.0000 0.0000 1
I2 I 0.0000 0.5000 0.0000 1
# - Energy relative to the elements, uncorrected: -1.06 eV/atom
# - Size of the total moment: 0.00 μB per formula unit
# - Total DFT energy (no corrections): -0.2971 Ry/atom
# - Crystal system: trigonal
# - V: 39.59 Å³ per atom

=====

# 3
# PBE-GGA Ba8RhS3I4, optimized geometry
data_Ba8RhS3I4
_cell_length_a 9.3108
_cell_length_b 9.3108
_cell_length_c 24.9086
_cell_angle_alpha 90.00
_cell_angle_beta 90.00
_cell_angle_gamma 120.00
_symmetry_space_group_name_H-M 'R -3 m'
_symmetry_Int_Tables_number 166
_symmetry_space_group_name_Hall '-R 3 2"'
loop_
_atom_site_label
_atom_site_type_symbol
_atom_site_fract_x
_atom_site_fract_y
_atom_site_fract_z
_atom_site_occupancy
Ba1 Ba 0.0000 0.0000 0.2348 1
Ba2 Ba 0.0069 0.5035 0.2334 1
Rh1 Rh 0.0000 0.0000 0.5000 1
S1 S 0.0000 0.5000 0.5000 1
I1 I 0.0000 0.0000 0.0000 1
I2 I 0.0000 0.5000 0.0000 1
# - Energy relative to the elements, uncorrected: -1.50 eV/atom
# - Size of the total moment: 0.26 μB per formula unit
# - Total DFT energy (no corrections): -0.2998 Ry/atom
# - Crystal system: trigonal
# - V: 38.96 Å³ per atom

=====

# 4
# PBE-GGA Ba4RhSI2, optimized geometry
data_Ba4RhSI2
_cell_length_a 8.120
_cell_length_b 4.627
_cell_length_c 8.838
_cell_angle_alpha 90.00
_cell_angle_beta 106.52
_cell_angle_gamma 90.00
_symmetry_space_group_name_H-M 'P 1 2/m 1'
_symmetry_Int_Tables_number 10
loop_
_symmetry_equiv_pos_as_xyz
'x,y,z'
'-x,-y,-z'
'-x,y,-z'
'x,-y,z'
loop_
_atom_site_label
_atom_site_type_symbol
_atom_site_fract_x
_atom_site_fract_y
_atom_site_fract_z
_atom_site_occupancy
Ba1 Ba 0.231 0.000 0.201 1
Ba2 Ba 0.251 0.500 0.806 1
Rh1 Rh 0.000 0.500 0.000 1
S1 S 0.500 0.000 0.000 1
I1 I 0.000 0.000 0.500 1
I2 I 0.500 0.500 0.500 1
# - Energy relative to the elements, uncorrected: -1.29 eV/atom
# - Size of the total moment: 0.00 μB per formula unit
# - Total DFT energy (no corrections): -0.2994 Ry/atom
# - Crystal system: monoclinic
# - V: 39.79 Å³ per atom

=====

# 5
# PBE-GGA BaSbRhI2, optimized geometry
data_BaSbRhI2
_cell_length_a 6.656
_cell_length_b 6.656
_cell_length_c 6.934
_cell_angle_alpha 90.00
_cell_angle_beta 90.00
_cell_angle_gamma 90.00
_symmetry_space_group_name_H-M 'P 4/m m m'
_symmetry_Int_Tables_number 123
_symmetry_space_group_name_Hall '-P 4 2'
loop_
_atom_site_label
_atom_site_type_symbol
_atom_site_fract_x
_atom_site_fract_y
_atom_site_fract_z
_atom_site_occupancy
Ba1 Ba 0.000 0.000 0.000 1
Sb1 Sb 0.000 0.000 0.500 1
Rh1 Rh 0.500 0.500 0.500 1
I1 I 0.000 0.500 0.000 1
# - Energy relative to the elements, uncorrected: 0.61 eV/atom
# - Polymorph energy (0 for the lowest one): 1177 meV/atom
# - Size of the total moment: 4.01 μB per formula unit
# - Total DFT energy (no corrections): -0.1974 Ry/atom
# - Crystal system: tetragonal
# - V: 61.43 Å³ per atom

=====

# 6
# PBE-GGA BaSbRhI2, optimized geometry
data_BaSbRhI2
_cell_length_a 5.637
_cell_length_b 5.637
_cell_length_c 5.199
_cell_angle_alpha 90.00
_cell_angle_beta 90.00
_cell_angle_gamma 90.00
_symmetry_space_group_name_H-M 'P 4/m m m'
_symmetry_Int_Tables_number 123
_symmetry_space_group_name_Hall '-P 4 2'
loop_
_atom_site_label
_atom_site_type_symbol
_atom_site_fract_x
_atom_site_fract_y
_atom_site_fract_z
_atom_site_occupancy
Ba1 Ba 0.000 0.000 0.000 1
Sb1 Sb 0.500 0.500 0.000 1
Rh1 Rh 0.500 0.500 0.500 1
I1 I 0.000 0.500 0.500 1
# - Energy relative to the elements, uncorrected: -0.56 eV/atom
# - Polymorph energy (0 for the lowest one): 0 meV/atom
# - Size of the total moment: 0.00 μB per formula unit
# - Total DFT energy (no corrections): -0.2839 Ry/atom
# - Crystal system: tetragonal
# - V: 33.04 Å³ per atom

=====

# 7
# PBE-GGA BaRh2SeI, optimized geometry
data_BaRh2SeI
_cell_length_a 5.264
_cell_length_b 5.264
_cell_length_c 6.434
_cell_angle_alpha 90.00
_cell_angle_beta 90.00
_cell_angle_gamma 90.00
_symmetry_space_group_name_H-M 'P 4/m m m'
_symmetry_Int_Tables_number 123
_symmetry_space_group_name_Hall '-P 4 2'
loop_
_atom_site_label
_atom_site_type_symbol
_atom_site_fract_x
_atom_site_fract_y
_atom_site_fract_z
_atom_site_occupancy
Ba1 Ba 0.000 0.000 0.000 1
Rh1 Rh 0.000 0.500 0.000 1
Se1 Se 0.500 0.500 0.500 1
I1 I 0.000 0.000 0.500 1
# - Energy relative to the elements, uncorrected: 1.35 eV/atom
# - Size of the total moment: 2.47 μB per formula unit
# - Total DFT energy (no corrections): -0.2195 Ry/atom
# - Crystal system: tetragonal
# - V: 35.65 Å³ per atom

=====

# 8
# PBE-GGA Ba8Rh3SeI4, optimized geometry
data_Ba8Rh3SeI4
_cell_length_a 9.3569
_cell_length_b 9.3569
_cell_length_c 25.4713
_cell_angle_alpha 90.00
_cell_angle_beta 90.00
_cell_angle_gamma 120.00
_symmetry_space_group_name_H-M 'R -3 m'
_symmetry_Int_Tables_number 166
_symmetry_space_group_name_Hall '-R 3 2"'
loop_
_atom_site_label
_atom_site_type_symbol
_atom_site_fract_x
_atom_site_fract_y
_atom_site_fract_z
_atom_site_occupancy
Ba1 Ba 0.0000 0.0000 0.2358 1
Ba2 Ba 0.0133 0.5067 0.7684 1
Rh1 Rh 0.0000 0.5000 0.5000 1
Se1 Se 0.0000 0.0000 0.5000 1
I1 I 0.0000 0.0000 0.0000 1
I2 I 0.0000 0.5000 0.0000 1
# - Energy relative to the elements, uncorrected: -1.05 eV/atom
# - Size of the total moment: 0.00 μB per formula unit
# - Total DFT energy (no corrections): -0.2937 Ry/atom
# - Crystal system: trigonal
# - V: 40.24 Å³ per atom

=====

# 9
# PBE-GGA Ba2SiRhI, optimized geometry
data_Ba2SiRhI
_cell_length_a 6.211
_cell_length_b 6.211
_cell_length_c 4.582
_cell_angle_alpha 90.00
_cell_angle_beta 90.00
_cell_angle_gamma 90.00
_symmetry_space_group_name_H-M 'P 4/m m m'
_symmetry_Int_Tables_number 123
_symmetry_space_group_name_Hall '-P 4 2'
loop_
_atom_site_label
_atom_site_type_symbol
_atom_site_fract_x
_atom_site_fract_y
_atom_site_fract_z
_atom_site_occupancy
Ba1 Ba 0.000 0.500 0.000 1
Si1 Si 0.000 0.000 0.500 1
Rh1 Rh 0.000 0.000 0.000 1
I1 I 0.500 0.500 0.500 1
# - Energy relative to the elements, uncorrected: -0.80 eV/atom
# - Size of the total moment: 0.00 μB per formula unit
# - Total DFT energy (no corrections): -0.3261 Ry/atom
# - Crystal system: tetragonal
# - V: 35.35 Å³ per atom

=====

# 10
# PBE-GGA Ba2SrRhI, optimized geometry
data_Ba2SrRhI
_cell_length_a 6.121
_cell_length_b 6.121
_cell_length_c 5.882
_cell_angle_alpha 90.00
_cell_angle_beta 90.00
_cell_angle_gamma 90.00
_symmetry_space_group_name_H-M 'P 4/m m m'
_symmetry_Int_Tables_number 123
_symmetry_space_group_name_Hall '-P 4 2'
loop_
_atom_site_label
_atom_site_type_symbol
_atom_site_fract_x
_atom_site_fract_y
_atom_site_fract_z
_atom_site_occupancy
Ba1 Ba 0.000 0.500 0.000 1
Sr1 Sr 0.000 0.000 0.500 1
Rh1 Rh 0.000 0.000 0.000 1
I1 I 0.500 0.500 0.500 1
# - Energy relative to the elements, uncorrected: -0.51 eV/atom
# - Size of the total moment: 0.00 μB per formula unit
# - Total DFT energy (no corrections): -0.2494 Ry/atom
# - Crystal system: tetragonal
# - V: 44.08 Å³ per atom

=====

# 11
# PBE-GGA BaTa2RhI, optimized geometry
data_BaTa2RhI
_cell_length_a 4.871
_cell_length_b 4.871
_cell_length_c 6.731
_cell_angle_alpha 90.00
_cell_angle_beta 90.00
_cell_angle_gamma 90.00
_symmetry_space_group_name_H-M 'P 4/m m m'
_symmetry_Int_Tables_number 123
_symmetry_space_group_name_Hall '-P 4 2'
loop_
_atom_site_label
_atom_site_type_symbol
_atom_site_fract_x
_atom_site_fract_y
_atom_site_fract_z
_atom_site_occupancy
Ba1 Ba 0.000 0.000 0.000 1
Ta1 Ta 0.000 0.500 0.500 1
Rh1 Rh 0.000 0.000 0.500 1
I1 I 0.500 0.500 0.000 1
# - Energy relative to the elements, uncorrected: 0.66 eV/atom
# - Size of the total moment: 1.75 μB per formula unit
# - Total DFT energy (no corrections): -0.4591 Ry/atom
# - Crystal system: tetragonal
# - V: 31.94 Å³ per atom

=====

# 12
# PBE-GGA Ba4TeRhI2, optimized geometry
data_Ba4TeRhI2
_cell_length_a 8.594
_cell_length_b 4.765
_cell_length_c 8.885
_cell_angle_alpha 90.00
_cell_angle_beta 107.56
_cell_angle_gamma 90.00
_symmetry_space_group_name_H-M 'P 1 2/m 1'
_symmetry_Int_Tables_number 10
loop_
_symmetry_equiv_pos_as_xyz
'x,y,z'
'-x,-y,-z'
'-x,y,-z'
'x,-y,z'
loop_
_atom_site_label
_atom_site_type_symbol
_atom_site_fract_x
_atom_site_fract_y
_atom_site_fract_z
_atom_site_occupancy
Ba1 Ba 0.219 0.000 0.207 1
Ba2 Ba 0.227 0.500 0.797 1
Te1 Te 0.500 0.000 0.000 1
Rh1 Rh 0.000 0.500 0.000 1
I1 I 0.000 0.000 0.500 1
I2 I 0.500 0.500 0.500 1
# - Energy relative to the elements, uncorrected: -1.20 eV/atom
# - Size of the total moment: 0.00 μB per formula unit
# - Total DFT energy (no corrections): -0.2841 Ry/atom
# - Crystal system: monoclinic
# - V: 43.36 Å³ per atom